Density functional theory data (GGA-PBE) for Zr3Sc2Tc2 after structural relaxation.

```
data_Zr3Sc2Tc2
_chemical_formula_sum 'Zr6 Sc4 Tc4'
_symmetry_space_group_name_H-M 'C m m m'
_symmetry_Int_Tables_number 65
_symmetry_space_group_name_Hall '-C 2 2'
_cell_length_a 3.334
_cell_length_b 26.614
_cell_length_c 3.288
_cell_angle_alpha 90.00
_cell_angle_beta 90.00
_cell_angle_gamma 90.00
loop_
_atom_site_label
_atom_site_fract_x
_atom_site_fract_y
_atom_site_fract_z
Zr1 0.000 0.000 0.000
Zr2 0.000 0.421 0.500
Sc1 0.000 0.305 0.500
Tc1 0.000 0.137 0.000
```

Computed properties:
* E_form: -0.16 eV per atom

=====

Density functional theory data (GGA-PBE) for YPuCu10 after structural relaxation.

```
data_YPuCu10
_chemical_formula_sum 'Y1 Pu1 Cu10'
_symmetry_space_group_name_H-M 'P m m m'
_symmetry_Int_Tables_number 47
_cell_length_a 4.073
_cell_length_b 5.082
_cell_length_c 8.748
_cell_angle_alpha 90.00
_cell_angle_beta 90.00
_cell_angle_gamma 90.00
loop_
_symmetry_equiv_pos_as_xyz
'x,y,z'
'-x,-y,-z'
'-x,-y,z'
'x,y,-z'
'x,-y,-z'
'-x,y,z'
'-x,y,-z'
'x,-y,z'
loop_
_atom_site_label
_atom_site_fract_x
_atom_site_fract_y
_atom_site_fract_z
Y1 0.000 0.000 0.000
Pu1 0.000 0.500 0.500
Cu1 0.000 0.000 0.332
Cu2 0.000 0.500 0.166
Cu3 0.500 0.000 0.500
Cu4 0.500 0.248 0.249
Cu5 0.500 0.500 0.000
```

Computed properties:
* E_form: -0.11 eV per atom

=====

Density functional theory data (GGA-PBE) for LaYSbI2 after structural relaxation.

```
data_LaYSbI2
_chemical_formula_sum 'La1 Y1 Sb1 I2'
_symmetry_space_group_name_H-M 'P 4/m m m'
_symmetry_Int_Tables_number 123
_symmetry_space_group_name_Hall '-P 4 2'
_cell_length_a 6.028
_cell_length_b 6.028
_cell_length_c 6.409
_cell_angle_alpha 90.00
_cell_angle_beta 90.00
_cell_angle_gamma 90.00
loop_
_atom_site_label
_atom_site_fract_x
_atom_site_fract_y
_atom_site_fract_z
La1 0.000 0.000 0.000
Y1 0.500 0.500 0.500
Sb1 0.000 0.000 0.500
I1 0.000 0.500 0.000
```

Computed properties:
* energy above the most stable polymorph in this dataset: 266 meV/atom

=====

Density functional theory data (GGA-PBE) for Na2TiTcW after structural relaxation.

```
data_Na2TiTcW
_chemical_formula_sum 'Na2 Ti1 Tc1 W1'
_symmetry_space_group_name_H-M 'P 4/m m m'
_symmetry_Int_Tables_number 123
_symmetry_space_group_name_Hall '-P 4 2'
_cell_length_a 4.937
_cell_length_b 4.937
_cell_length_c 4.575
_cell_angle_alpha 90.00
_cell_angle_beta 90.00
_cell_angle_gamma 90.00
loop_
_atom_site_label
_atom_site_fract_x
_atom_site_fract_y
_atom_site_fract_z
Na1 0.000 0.500 0.000
Ti1 0.000 0.000 0.000
Tc1 0.500 0.500 0.500
W1 0.000 0.000 0.500
```

Computed properties:
* E_form: 2.09 eV per atom

=====

Density functional theory data (GGA-PBE) for LiCd4Ga2 after structural relaxation.

```
data_LiCd4Ga2
_chemical_formula_sum 'Li2 Cd8 Ga4'
_symmetry_space_group_name_H-M 'C m m m'
_symmetry_Int_Tables_number 65
_symmetry_space_group_name_Hall '-C 2 2'
_cell_length_a 4.467
_cell_length_b 16.256
_cell_length_c 4.322
_cell_angle_alpha 90.00
_cell_angle_beta 90.00
_cell_angle_gamma 90.00
loop_
_atom_site_label
_atom_site_fract_x
_atom_site_fract_y
_atom_site_fract_z
Li1 0.000 0.000 0.000
Cd1 0.000 0.174 0.500
Cd2 0.000 0.318 0.000
Ga1 0.000 0.425 0.500
```

Computed properties:
* E_form: -0.01 eV per atom

=====

Density functional theory data (GGA-PBE) for YTmMgNi after structural relaxation.

```
data_YTmMgNi
_chemical_formula_sum 'Y4 Tm4 Mg4 Ni4'
_symmetry_space_group_name_H-M 'F -4 3 m'
_symmetry_Int_Tables_number 216
_symmetry_space_group_name_Hall 'F -4 2 3'
_cell_length_a 7.103
_cell_length_b 7.103
_cell_length_c 7.103
_cell_angle_alpha 90.00
_cell_angle_beta 90.00
_cell_angle_gamma 90.00
loop_
_atom_site_label
_atom_site_fract_x
_atom_site_fract_y
_atom_site_fract_z
Y1 0.000 0.000 0.000
Tm1 0.000 0.000 0.500
Mg1 0.250 0.250 0.750
Ni1 0.250 0.250 0.250
```

Computed properties:
* E_form: -0.13 eV per atom
* energy above the most stable polymorph in this dataset: 135 meV/atom

=====

Density functional theory data (GGA-PBE) for CePm2Mg after structural relaxation.

```
data_CePm2Mg
_chemical_formula_sum 'Ce3 Pm6 Mg3'
_symmetry_space_group_name_H-M 'R 3 m'
_symmetry_Int_Tables_number 160
_symmetry_space_group_name_Hall 'R 3 -2"'
_cell_length_a 3.5140
_cell_length_b 3.5140
_cell_length_c 34.1934
_cell_angle_alpha 90.00
_cell_angle_beta 90.00
_cell_angle_gamma 120.00
loop_
_atom_site_label
_atom_site_fract_x
_atom_site_fract_y
_atom_site_fract_z
Ce1 0.0000 0.0000 0.0000
Pm1 0.0000 0.0000 0.4162
Pm2 0.0000 0.0000 0.5831
Mg1 0.0000 0.0000 0.8329
```

Computed properties:
* E_form: 0.06 eV per atom
* energy above the most stable polymorph in this dataset: 68 meV/atom

=====

Density functional theory data (GGA-PBE) for LiHoCd2 after structural relaxation.

```
data_LiHoCd2
_chemical_formula_sum 'Li3 Ho3 Cd6'
_symmetry_space_group_name_H-M 'R 3 m'
_symmetry_Int_Tables_number 160
_symmetry_space_group_name_Hall 'R 3 -2"'
_cell_length_a 3.3952
_cell_length_b 3.3952
_cell_length_c 28.7384
_cell_angle_alpha 90.00
_cell_angle_beta 90.00
_cell_angle_gamma 120.00
loop_
_atom_site_label
_atom_site_fract_x
_atom_site_fract_y
_atom_site_fract_z
Li1 0.0000 0.0000 0.0000
Ho1 0.0000 0.0000 0.1684
Cd1 0.0000 0.0000 0.4108
Cd2 0.0000 0.0000 0.5917
```

Computed properties:
* E_form: -0.10 eV per atom
* energy above the most stable polymorph in this dataset: 165 meV/atom

=====

Density functional theory data (GGA-PBE) for CrTe2I after structural relaxation.

```
data_CrTe2I
_chemical_formula_sum 'Cr3 Te6 I3'
_symmetry_space_group_name_H-M 'R 3 m'
_symmetry_Int_Tables_number 160
_symmetry_space_group_name_Hall 'R 3 -2"'
_cell_length_a 3.4937
_cell_length_b 3.4937
_cell_length_c 31.4021
_cell_angle_alpha 90.00
_cell_angle_beta 90.00
_cell_angle_gamma 120.00
loop_
_atom_site_label
_atom_site_fract_x
_atom_site_fract_y
_atom_site_fract_z
Cr1 0.0000 0.0000 0.0000
Te1 0.0000 0.0000 0.2782
Te2 0.0000 0.0000 0.8293
I1 0.0000 0.0000 0.3878
```

Computed properties:
* energy above the most stable polymorph in this dataset: 428 meV/atom

=====

Density functional theory data (GGA-PBE) for BeOs2Rh after structural relaxation.

```
data_BeOs2Rh
_chemical_formula_sum 'Be2 Os4 Rh2'
_symmetry_space_group_name_H-M 'I m m m'
_symmetry_Int_Tables_number 71
_symmetry_space_group_name_Hall '-I 2 2'
_cell_length_a 2.778
_cell_length_b 4.276
_cell_length_c 8.658
_cell_angle_alpha 90.00
_cell_angle_beta 90.00
_cell_angle_gamma 90.00
loop_
_atom_site_label
_atom_site_fract_x
_atom_site_fract_y
_atom_site_fract_z
Be1 0.000 0.000 0.000
Os1 0.000 0.500 0.284
Rh1 0.000 0.000 0.500
```

Computed properties:
* E_form: -0.02 eV per atom

=====

Density functional theory data (GGA-PBE) for TmLuCuPt after structural relaxation.

```
data_TmLuCuPt
_chemical_formula_sum 'Tm4 Lu4 Cu4 Pt4'
_symmetry_space_group_name_H-M 'F -4 3 m'
_symmetry_Int_Tables_number 216
_symmetry_space_group_name_Hall 'F -4 2 3'
_cell_length_a 6.839
_cell_length_b 6.839
_cell_length_c 6.839
_cell_angle_alpha 90.00
_cell_angle_beta 90.00
_cell_angle_gamma 90.00
loop_
_atom_site_label
_atom_site_fract_x
_atom_site_fract_y
_atom_site_fract_z
Tm1 0.000 0.000 0.000
Lu1 0.000 0.000 0.500
Cu1 0.250 0.250 0.750
Pt1 0.250 0.250 0.250
```

Computed properties:
* E_form: -0.83 eV per atom

=====

Density functional theory data (GGA-PBE) for K3Np3GaSe8 after structural relaxation.

```
data_K3Np3GaSe8
_chemical_formula_sum 'K9 Np9 Ga3 Se24'
_symmetry_space_group_name_H-M 'R -3 m'
_symmetry_Int_Tables_number 166
_symmetry_space_group_name_Hall '-R 3 2"'
_cell_length_a 8.3674
_cell_length_b 8.3674
_cell_length_c 23.1779
_cell_angle_alpha 90.00
_cell_angle_beta 90.00
_cell_angle_gamma 120.00
loop_
_atom_site_label
_atom_site_fract_x
_atom_site_fract_y
_atom_site_fract_z
K1 0.0000 0.5000 0.0000
Np1 0.0000 0.5000 0.5000
Ga1 0.0000 0.0000 0.5000
Se1 0.0000 0.0000 0.2351
Se2 0.0048 0.5024 0.2307
```

=====

Record-wise calculated total energy values, in eV per formula unit: -60.1, -63.0, -20.2, -23.4, -11.7, -18.8, -16.8, -8.7, -16.6, -33.6, -22.5, -89.5
Record-wise magnetic moment values, in Bohr magnetons per cell: 0.00, 6.03, 0.94, 2.74, 0.00, 0.00, 0.81, 0.00, 1.82, 0.00, 0.00, 31.20